[1]
Here is a geometry-optimized Mg3Ag2Pd8 structure from Alexandria. Energies are from PBE.

a = 5.2145 Å, b = 5.2145 Å, c = 10.3024 Å
α = 75.34°, β = 75.34°, γ = 60.00°
Last column: nearest neighbours and their distance in Å.
Atoms (fractional coordinates):
Pd (0.2718, 0.7727, 0.6837)  6 Pd 2.60-2.90, 1 Mg 2.75, 1 Ag 2.77
Mg (0.1833, 0.1833, 0.4502)  4 Pd 2.58-2.75
Mg (0.8167, 0.8167, 0.5498)  4 Pd 2.58-2.75
Pd (0.2273, 0.7282, 0.3163)  6 Pd 2.60-2.90, 1 Mg 2.75, 1 Ag 2.77
Ag (0.3600, 0.3600, 0.9200)  4 Pd 2.64-2.77
Pd (0.7294, 0.7294, 0.8118)  1 Mg 2.58, 1 Ag 2.64
Pd (0.2706, 0.2706, 0.1882)  1 Mg 2.58, 1 Ag 2.64
Pd (0.7282, 0.7282, 0.3163)  6 Pd 2.60-2.90, 1 Mg 2.75, 1 Ag 2.77
Pd (0.7727, 0.2718, 0.6837)  6 Pd 2.60-2.90, 1 Mg 2.75, 1 Ag 2.77
Mg (0.0000, 0.0000, 0.0000)  6 Ag 3.11, 6 Pd 3.46
Pd (0.2718, 0.2718, 0.6837)  6 Pd 2.60-2.90, 1 Mg 2.75, 1 Ag 2.77
Ag (0.6400, 0.6400, 0.0800)  4 Pd 2.64-2.77
Pd (0.7282, 0.2273, 0.3163)  6 Pd 2.60-2.90, 1 Mg 2.75, 1 Ag 2.77

Output
Space-group type ... R-3m
E_tot ... -4.178 eV per atom
Magnetization ... 0.00 μB/cell
D(E_F) ... 3.67 states/eV/f.u.
Energy of formation from the pure elements ... -175.4 meV per atom

***

[2]
Here is a geometry-optimized MnCu2As structure from Alexandria. Energies are from PBE.

a = 3.2027 Å, b = 3.2027 Å, c = 5.3244 Å
α = 90.00°, β = 90.00°, γ = 90.00°
Last column: nearest neighbours and their distance in Å.
Atoms (fractional coordinates):
As (0.5000, 0.5000, 0.7216)  4 Mn 2.52, 6 Cu 2.60-2.80
Cu (0.5000, 0.5000, 0.2337)  4 Cu 2.51, 2 As 2.60-2.73, 4 Mn 2.72
Cu (0.0000, 0.0000, 0.0296)  4 Cu 2.51, 2 Mn 2.58-2.74, 4 As 2.80
Mn (0.0000, 0.0000, 0.5150)  4 As 2.52, 6 Cu 2.58-2.74

Output
Space-group type ... P4mm
E_tot ... -5.401 eV per atom
Magnetization ... 2.72 μB/cell
D(E_F) ... 2.86 states/eV/f.u.
Energy of formation from the pure elements ... 102.1 meV per atom

***

[3]
Here is a geometry-optimized TbHoNiPd structure from Alexandria. Energies are from PBE.

a = 3.7705 Å, b = 4.3738 Å, c = 5.5039 Å
α = 90.00°, β = 110.03°, γ = 90.00°
Last column: nearest neighbours and their distance in Å.
Atoms (fractional coordinates):
Ni (0.4186, 0.0000, 0.8373)  2 Pd 2.74, 3 Tb 2.87-2.97, 4 Ho 2.95
Ho (0.8622, 0.5000, 0.7243)  3 Pd 2.93, 4 Ni 2.95
Pd (0.5785, 0.5000, 0.1570)  2 Ni 2.74, 3 Ho 2.93, 4 Tb 2.96
Tb (0.1407, 0.0000, 0.2813)  3 Ni 2.87-2.97, 4 Pd 2.96

Output
Space-group type ... Amm2
E_tot ... -5.715 eV per atom
Magnetization ... 0.00 μB/cell
D(E_F) ... 2.76 states/eV/f.u.
Energy of formation from the pure elements ... -669.6 meV per atom

***

[4]
Here is a geometry-optimized CdHgPb3 structure from Alexandria. Energies are from PBE.

a = 5.7012 Å, b = 5.7012 Å, c = 5.7012 Å
α = 90.00°, β = 90.00°, γ = 90.00°
Last column: nearest neighbours and their distance in Å.
Atoms (fractional coordinates):
Pb (0.0000, 0.0000, 0.5000)  2 Cd 2.85
Pb (0.5000, 0.0000, 0.0000)  2 Cd 2.85
Hg (0.5000, 0.5000, 0.5000)  12 Pb 4.03
Pb (0.0000, 0.5000, 0.0000)  2 Cd 2.85
Cd (0.0000, 0.0000, 0.0000)  6 Pb 2.85

Output
Space-group type ... Pm-3m
E_tot ... -2.033 eV per atom
Magnetization ... 0.00 μB/cell
D(E_F) ... 1.82 states/eV/f.u.
Energy of formation from the pure elements ... 435.3 meV per atom